# 1
Mg2NiCl, relaxed, DFT PBEsol; calculated total energy = -12.77 eV/cell; formation energy from raw total energies = -28 kJ per mole of atoms; symmetry = P4/mmm; N(E_F) = 1.5 states/eV per cell; relative energy among the computed polymorphs = 0.133 eV per atom
1.0
-0.882 -0.051 2.837
-2.512 -3.903 -0.851
3.741 -2.651 1.115
Mg Ni Cl
2 1 1
Cartesian
1.870 -1.326 0.558
-1.256 -1.951 -0.426
0.173 -3.302 1.551
-0.441 -0.026 1.419



# 2
Mg2NiCl, relaxed, DFT PBEsol; calculated total energy = -13.30 eV/cell; formation energy from raw total energies = -41 kJ per mole of atoms; symmetry = C2/m; N(E_F) = 2.1 states/eV per cell; relative energy among the computed polymorphs = 0.000 eV per atom
1.0
3.184 0.000 0.000
1.592 2.799 0.101
1.592 0.608 7.655
Ni Cl Mg
1 1 2
Cartesian
1.592 0.000 0.000
1.592 1.704 3.878
3.184 0.889 1.811
3.184 2.518 5.945